[1]
{"formula": "Li2NpFe2O6", "functional": "PBE with a Hubbard U", "state": "relaxed", "energy_ev_per_atom": -7.3547, "mass_density_g_cm3": 5.89, "m_tot_mub_per_atom": 0.64, "lattice_angstrom": [[5.2935, 0.3191, -0.0779], [-2.3389, 4.7595, -0.0779], [-1.2023, -2.0666, 5.0456]], "species": ["Li", "Li", "Np", "Fe", "Fe", "O", "O", "O", "O", "O", "O"], "fractional_positions": [[0.3458, 0.6542, 0.5000], [0.6542, 0.3458, 0.5000], [0.0000, 0.0000, 0.5000], [0.8204, 0.1796, 0.0000], [0.1796, 0.8204, 0.0000], [0.7804, 0.7804, 0.7116], [0.0369, 0.3865, 0.7488], [0.2196, 0.2196, 0.2884], [0.3865, 0.0369, 0.7488], [0.9631, 0.6135, 0.2512], [0.6135, 0.9631, 0.2512]]}

---

[2]
{"formula": "LiNpFeO6", "functional": "PBE with a Hubbard U", "state": "relaxed", "energy_ev_per_atom": -7.3981, "mass_density_g_cm3": 5.99, "m_tot_mub_per_atom": 0.22, "lattice_angstrom": [[-0.5634, 1.2997, -5.0152], [0.6686, -4.9920, 1.3389], [-9.2434, -1.0312, 0.7712]], "species": ["Li", "Li", "Np", "Np", "Fe", "Fe", "O", "O", "O", "O", "O", "O", "O", "O", "O", "O", "O", "O"], "fractional_positions": [[0.0000, 0.0000, 0.0000], [0.0000, 0.0000, 0.5000], [0.3333, 0.6667, 0.2500], [0.6667, 0.3333, 0.7500], [0.6667, 0.3333, 0.2500], [0.3333, 0.6667, 0.7500], [0.6485, 0.6334, 0.1390], [0.9849, 0.3515, 0.1390], [0.3515, 0.9849, 0.6390], [0.0151, 0.6485, 0.8610], [0.3666, 0.3515, 0.3610], [0.9849, 0.6334, 0.3610], [0.6334, 0.9849, 0.8610], [0.6485, 0.0151, 0.3610], [0.0151, 0.3666, 0.6390], [0.3666, 0.0151, 0.1390], [0.6334, 0.6485, 0.6390], [0.3515, 0.3666, 0.8610]]}

---

[3]
{"formula": "LiNp2FeO8", "functional": "PBE with a Hubbard U", "state": "relaxed", "energy_ev_per_atom": -8.3513, "mass_density_g_cm3": 7.99, "m_tot_mub_per_atom": 0.58, "lattice_angstrom": [[-4.5735, 2.3105, -0.4455], [-2.2439, -3.9896, 2.3457], [4.1276, 3.1541, 3.6742]], "species": ["Li", "Np", "Np", "Fe", "O", "O", "O", "O", "O", "O", "O", "O"], "fractional_positions": [[0.0000, 0.0000, 0.0000], [0.5000, 0.5000, 0.0000], [0.2500, 0.7500, 0.5000], [0.7500, 0.2500, 0.5000], [0.8562, 0.9012, 0.3173], [0.4611, 0.4160, 0.3173], [0.6160, 0.6998, 0.8116], [0.1956, 0.1118, 0.8116], [0.8882, 0.3840, 0.1884], [0.3002, 0.8044, 0.1884], [0.0988, 0.5389, 0.6827], [0.5840, 0.1438, 0.6827]]}

---

[4]
{"formula": "LiNpFe2O6", "functional": "PBE with a Hubbard U", "state": "relaxed", "energy_ev_per_atom": -7.4909, "mass_density_g_cm3": 6.42, "m_tot_mub_per_atom": 0.80, "lattice_angstrom": [[5.2058, -0.0333, -0.0316], [2.5749, 4.6363, 0.0610], [2.5647, 1.6155, 4.8312]], "species": ["Li", "Np", "Fe", "Fe", "O", "O", "O", "O", "O", "O"], "fractional_positions": [[0.8076, 0.8140, 0.5868], [0.3203, 0.3204, 0.0365], [0.5289, 0.5208, 0.4309], [0.0202, 0.0056, 0.9630], [0.5904, 0.2463, 0.2582], [0.2369, 0.9036, 0.2496], [0.9057, 0.6115, 0.2305], [0.4129, 0.7085, 0.7509], [0.7132, 0.1341, 0.7553], [0.1255, 0.3967, 0.7535]]}